[1]
A crystal of CuNi2Hg relaxed with PBEsol. Source: Alexandria via LeMat-Bulk, functional meta-GGA SCAN.

abc: 2.942 2.942 5.969
angles: 90.00 90.00 90.00
Last column: magnetic moment on the atom in μB.
Positions (direct):
1 Ni 0.000 0.000 0.040  0.56
2 Ni 0.500 0.500 0.244  0.65
3 Hg 0.500 0.500 0.755  -0.01
4 Cu 0.000 0.000 0.460  0.02

Results
DOS at the Fermi energy	2.50	states/eV/f.u.
M_tot	1.1	μB/f.u.
energy relative to the elements	208.9	meV per atom

=====

[2]
A crystal of HfNb2ZnF relaxed with PBEsol. Source: Alexandria via LeMat-Bulk, functional meta-GGA SCAN.

abc: 4.182 4.182 4.674
angles: 90.00 90.00 90.00
Positions (direct):
1 Nb 0.500 0.000 0.000
2 Nb 0.000 0.500 0.000
3 Hf 0.500 0.500 0.500
4 Zn 0.000 0.000 0.500
5 F 0.000 0.000 0.000

Results
DOS at the Fermi energy	3.67	states/eV/f.u.
M_tot	0.0	μB/f.u.
energy relative to the elements, uncorrected	-1.75	eV/f.u.